Entry 1:
Entry from Alexandria via LeMat-Bulk: TaVMo2Os after structural relaxation (PBE).

The structure in CIF format:
```
data_TaVMo2Os
_chemical_formula_sum 'Ta1 V1 Mo2 Os1'
_space_group_name_H-M_alt 'P 4/m m m'
_space_group_IT_number 123
_space_group_name_Hall '-P 4 2'
_cell_length_a 4.699
_cell_length_b 4.699
_cell_length_c 4.806
_cell_angle_alpha 90.00
_cell_angle_beta 90.00
_cell_angle_gamma 90.00
loop_
_atom_site_label
_atom_site_fract_x
_atom_site_fract_y
_atom_site_fract_z
_atom_site_occupancy
Ta1 0.000 0.000 0.000 1
V1 0.500 0.500 0.000 1
Mo1 0.000 0.500 0.500 1
Os1 0.000 0.000 0.500 1
```

---

Entry 2:
Entry from Alexandria via LeMat-Bulk: TaVMoOs after structural relaxation (PBE).

The structure in CIF format:
```
data_TaVMoOs
_chemical_formula_sum 'Ta4 V4 Mo4 Os4'
_space_group_name_H-M_alt 'F -4 3 m'
_space_group_IT_number 216
_space_group_name_Hall 'F -4 2 3'
_cell_length_a 6.261
_cell_length_b 6.261
_cell_length_c 6.261
_cell_angle_alpha 90.00
_cell_angle_beta 90.00
_cell_angle_gamma 90.00
loop_
_atom_site_label
_atom_site_fract_x
_atom_site_fract_y
_atom_site_fract_z
_atom_site_occupancy
Ta1 0.000 0.000 0.000 1
V1 0.000 0.000 0.500 1
Mo1 0.250 0.250 0.250 1
Os1 0.250 0.250 0.750 1
```

---

Entry 3:
Entry from Alexandria via LeMat-Bulk: Zr2TaMoOs after structural relaxation (PBE).

The structure in CIF format:
```
data_Zr2TaMoOs
_chemical_formula_sum 'Zr2 Ta1 Mo1 Os1'
_space_group_name_H-M_alt 'P 4/m m m'
_space_group_IT_number 123
_space_group_name_Hall '-P 4 2'
_cell_length_a 4.983
_cell_length_b 4.983
_cell_length_c 4.710
_cell_angle_alpha 90.00
_cell_angle_beta 90.00
_cell_angle_gamma 90.00
loop_
_atom_site_label
_atom_site_fract_x
_atom_site_fract_y
_atom_site_fract_z
_atom_site_occupancy
Zr1 0.000 0.500 0.000 1
Ta1 0.000 0.000 0.500 1
Mo1 0.500 0.500 0.500 1
Os1 0.500 0.500 0.000 1
```

Computed properties:
Excess energy over the best structure of this formula in the dataset in eV per atom: 0.004

---

Values for total moment, μB/cell, ordered as above
0.00; 0.00; 0.00
Values for formation energy, eV per atom, ordered as above
1.68; -0.31; 1.07
Values for calculated density, Mg/m³, ordered as above
9.6; 14.0; 9.2